Record 1
DFT (PBE) results for a geometry-optimized Dy3Er2Te8 structure.

abc: 8.770 8.770 7.472
angles: 106.04 106.04 59.19
Fractional positions:
Dy1 0.000 0.000 0.000
Dy2 0.257 0.743 0.500
Dy3 0.743 0.257 0.500
Er1 0.250 0.250 0.831
Er2 0.750 0.750 0.169
Te1 0.122 0.122 0.416
Te2 0.126 0.628 0.087
Te3 0.372 0.874 0.913
Te4 0.383 0.383 0.605
Te5 0.617 0.617 0.395
Te6 0.628 0.126 0.087
Te7 0.874 0.372 0.913
Te8 0.878 0.878 0.584

Results
SG = C2/m (12)

***

Record 2
DFT (PBE) results for a geometry-optimized DyEr3Te2 structure.

abc: 9.262 9.262 10.553
angles: 111.97 111.97 24.29
Fractional positions:
Dy1 0.110 0.110 0.096
Dy2 0.890 0.890 0.904
Er1 0.049 0.049 0.655
Er2 0.311 0.311 0.126
Er3 0.367 0.367 0.534
Er4 0.633 0.633 0.466
Er5 0.689 0.689 0.874
Er6 0.951 0.951 0.345
Te1 0.254 0.254 0.698
Te2 0.493 0.493 0.157
Te3 0.507 0.507 0.843
Te4 0.746 0.746 0.302

Results
SG = C2/m (12)

***

Record 3
DFT (PBE) results for a geometry-optimized DyEr3Te6 structure.

abc: 8.969 8.969 8.969
angles: 90.51 90.51 90.51
Fractional positions:
Dy1 0.000 0.000 0.000
Dy2 0.500 0.500 0.500
Er1 0.075 0.582 0.743
Er2 0.257 0.925 0.418
Er3 0.418 0.257 0.925
Er4 0.582 0.743 0.075
Er5 0.743 0.075 0.582
Er6 0.925 0.418 0.257
Te1 0.038 0.909 0.678
Te2 0.091 0.322 0.962
Te3 0.183 0.588 0.409
Te4 0.322 0.962 0.091
Te5 0.409 0.183 0.588
Te6 0.412 0.591 0.817
Te7 0.588 0.409 0.183
Te8 0.591 0.817 0.412
Te9 0.678 0.038 0.909
Te10 0.817 0.412 0.591
Te11 0.909 0.678 0.038
Te12 0.962 0.091 0.322

Results
SG = R-3 (148)
Energy relative to the lowest polymorph listed for this composition = 0.045 eV per atom

***

Record 4
DFT (PBE) results for a geometry-optimized DyEr2Te3 structure.

abc: 4.360 6.101 12.940
angles: 90.00 90.00 90.00
Fractional positions:
Dy1 0.000 0.000 0.000
Dy2 0.500 0.500 0.500
Er1 0.000 0.000 0.337
Er2 0.000 0.000 0.663
Er3 0.500 0.500 0.163
Er4 0.500 0.500 0.837
Te1 0.000 0.500 0.000
Te2 0.000 0.500 0.330
Te3 0.000 0.500 0.670
Te4 0.500 0.000 0.170
Te5 0.500 0.000 0.500
Te6 0.500 0.000 0.830

Results
SG = Immm (71)
Energy relative to the lowest polymorph listed for this composition = 0.027 eV per atom

***

Record 5
DFT (PBE) results for a geometry-optimized Dy4Er3Te2 structure.

abc: 9.015 9.015 9.450
angles: 121.49 121.49 24.44
Fractional positions:
Dy1 0.053 0.053 0.383
Dy2 0.291 0.291 0.674
Dy3 0.709 0.709 0.326
Dy4 0.947 0.947 0.617
Er1 0.351 0.351 0.244
Er2 0.500 0.500 0.000
Er3 0.649 0.649 0.756
Te1 0.140 0.140 0.005
Te2 0.860 0.860 0.995

Results
SG = C2/m (12)

***

Record 6
DFT (PBE) results for a geometry-optimized DyEr5Te6 structure.

abc: 7.499 7.499 7.479
angles: 99.62 99.62 120.14
Fractional positions:
Dy1 0.000 0.000 0.000
Er1 0.163 0.837 0.500
Er2 0.334 0.666 0.000
Er3 0.500 0.500 0.500
Er4 0.666 0.334 0.000
Er5 0.837 0.163 0.500
Te1 0.084 0.421 0.252
Te2 0.253 0.253 0.751
Te3 0.421 0.084 0.252
Te4 0.579 0.916 0.748
Te5 0.747 0.747 0.249
Te6 0.916 0.579 0.748

Results
SG = C2/m (12)

***

Record 7
DFT (PBE) results for a geometry-optimized Dy3ErTe6 structure.

abc: 7.309 8.040 13.320
angles: 90.00 123.02 90.00
Fractional positions:
Dy1 0.000 0.000 0.000
Dy2 0.000 0.500 0.500
Dy3 0.304 0.121 0.751
Dy4 0.304 0.379 0.251
Dy5 0.696 0.621 0.749
Dy6 0.696 0.879 0.249
Er1 0.500 0.000 0.500
Er2 0.500 0.500 0.000
Te1 0.085 0.052 0.251
Te2 0.085 0.448 0.751
Te3 0.245 0.674 0.082
Te4 0.245 0.826 0.582
Te5 0.420 0.175 0.081
Te6 0.420 0.325 0.581
Te7 0.580 0.675 0.419
Te8 0.580 0.825 0.919
Te9 0.755 0.174 0.418
Te10 0.755 0.326 0.918
Te11 0.915 0.552 0.249
Te12 0.915 0.948 0.749

Results
SG = P2_1/c (14)
Energy relative to the lowest polymorph listed for this composition = 0.000 eV per atom

***

Record 8
DFT (PBE) results for a geometry-optimized DyEr2Te2 structure.

abc: 7.166 5.916 7.195
angles: 90.00 103.83 90.00
Fractional positions:
Dy1 0.000 0.000 0.000
Dy2 0.500 0.500 0.000
Er1 0.000 0.247 0.500
Er2 0.000 0.753 0.500
Er3 0.500 0.253 0.500
Er4 0.500 0.747 0.500
Te1 0.176 0.500 0.205
Te2 0.324 0.000 0.795
Te3 0.676 0.000 0.205
Te4 0.824 0.500 0.795

Results
SG = C2/m (12)

***

Record 9
DFT (PBE) results for a geometry-optimized Dy2ErTe structure.

abc: 3.830 3.830 29.706
angles: 90.00 90.00 120.00
Fractional positions:
Dy1 0.000 0.000 0.239
Dy2 0.000 0.000 0.761
Dy3 0.333 0.667 0.427
Dy4 0.333 0.667 0.906
Dy5 0.667 0.333 0.094
Dy6 0.667 0.333 0.573
Er1 0.000 0.000 0.000
Er2 0.333 0.667 0.667
Er3 0.667 0.333 0.333
Te1 0.000 0.000 0.500
Te2 0.333 0.667 0.167
Te3 0.667 0.333 0.833

Results
SG = R-3m (166)
Energy relative to the lowest polymorph listed for this composition = 0.133 eV per atom

***

Record 10
DFT (PBE) results for a geometry-optimized Dy2ErTe structure.

abc: 3.868 3.868 29.129
angles: 90.00 90.00 120.00
Fractional positions:
Dy1 0.000 0.000 0.000
Dy2 0.000 0.000 0.188
Dy3 0.333 0.667 0.667
Dy4 0.333 0.667 0.854
Dy5 0.667 0.333 0.333
Dy6 0.667 0.333 0.521
Er1 0.000 0.000 0.427
Er2 0.333 0.667 0.093
Er3 0.667 0.333 0.760
Te1 0.000 0.000 0.594
Te2 0.333 0.667 0.260
Te3 0.667 0.333 0.927

Results
SG = R3m (160)
Energy relative to the lowest polymorph listed for this composition = 0.117 eV per atom

***

Record 11
DFT (PBE) results for a geometry-optimized Dy2ErTe2 structure.

abc: 4.245 4.245 16.737
angles: 90.00 90.00 90.00
Fractional positions:
Dy1 0.000 0.000 0.124
Dy2 0.000 0.000 0.876
Dy3 0.500 0.500 0.376
Dy4 0.500 0.500 0.624
Er1 0.000 0.000 0.500
Er2 0.500 0.500 0.000
Te1 0.000 0.000 0.321
Te2 0.000 0.000 0.679
Te3 0.500 0.500 0.179
Te4 0.500 0.500 0.821

Results
SG = I4/mmm (139)

***

Record 12
DFT (PBE) results for a geometry-optimized Dy3Er5Te12 structure.

abc: 15.615 15.615 15.615
angles: 109.47 109.47 109.47
Fractional positions:
Dy1 0.125 0.250 0.375
Dy2 0.125 0.375 0.750
Dy3 0.250 0.375 0.125
Dy4 0.250 0.875 0.625
Dy5 0.375 0.125 0.250
Dy6 0.375 0.750 0.125
Dy7 0.625 0.250 0.875
Dy8 0.625 0.875 0.750
Dy9 0.750 0.125 0.375
Dy10 0.750 0.625 0.875
Dy11 0.875 0.625 0.250
Dy12 0.875 0.750 0.625
Er1 0.000 0.000 0.000
Er2 0.000 0.000 0.500
Er3 0.000 0.500 0.000
Er4 0.000 0.500 0.500
Er5 0.125 0.750 0.875
Er6 0.125 0.875 0.250
Er7 0.250 0.125 0.875
Er8 0.250 0.625 0.375
Er9 0.375 0.250 0.625
Er10 0.375 0.625 0.750
Er11 0.500 0.000 0.000
Er12 0.500 0.000 0.500
Er13 0.500 0.500 0.000
Er14 0.500 0.500 0.500
Er15 0.625 0.375 0.250
Er16 0.625 0.750 0.375
Er17 0.750 0.375 0.625
Er18 0.750 0.875 0.125
Er19 0.875 0.125 0.750
Er20 0.875 0.250 0.125
Te1 0.050 0.224 0.129
Te2 0.050 0.326 0.921
Te3 0.079 0.629 0.405
Te4 0.079 0.950 0.674
Te5 0.095 0.724 0.674
Te6 0.095 0.871 0.421
Te7 0.129 0.050 0.224
Te8 0.129 0.579 0.905
Te9 0.174 0.224 0.595
Te10 0.174 0.450 0.579
Te11 0.224 0.129 0.050
Te12 0.224 0.595 0.174
Te13 0.276 0.326 0.905
Te14 0.276 0.450 0.371
Te15 0.326 0.905 0.276
Te16 0.326 0.921 0.050
Te17 0.371 0.276 0.450
Te18 0.371 0.595 0.921
Te19 0.405 0.079 0.629
Te20 0.405 0.826 0.776
Te21 0.421 0.095 0.871
Te22 0.421 0.826 0.550
Te23 0.450 0.371 0.276
Te24 0.450 0.579 0.174
Te25 0.550 0.421 0.826
Te26 0.550 0.629 0.724
Te27 0.579 0.174 0.450
Te28 0.579 0.905 0.129
Te29 0.595 0.174 0.224
Te30 0.595 0.921 0.371
Te31 0.629 0.405 0.079
Te32 0.629 0.724 0.550
Te33 0.674 0.079 0.950
Te34 0.674 0.095 0.724
Te35 0.724 0.550 0.629
Te36 0.724 0.674 0.095
Te37 0.776 0.405 0.826
Te38 0.776 0.871 0.950
Te39 0.826 0.550 0.421
Te40 0.826 0.776 0.405
Te41 0.871 0.421 0.095
Te42 0.871 0.950 0.776
Te43 0.905 0.129 0.579
Te44 0.905 0.276 0.326
Te45 0.921 0.050 0.326
Te46 0.921 0.371 0.595
Te47 0.950 0.674 0.079
Te48 0.950 0.776 0.871

Results
SG = Ia-3d (230)

***

Number 1: total magnetization 0.00 μB per atom, raw formation energy -1239 meV/atom. Number 2: total magnetization 0.00 μB per atom, raw formation energy -754 meV/atom. Number 3: total magnetization 0.00 μB per atom, raw formation energy -1308 meV/atom. Number 4: total magnetization 0.00 μB per atom, raw formation energy -1232 meV/atom. Number 5: total magnetization 0.00 μB per atom, raw formation energy -527 meV/atom. Number 6: total magnetization 0.00 μB per atom, raw formation energy -1222 meV/atom. Number 7: total magnetization 0.00 μB per atom, raw formation energy -1338 meV/atom. Number 8: total magnetization 0.00 μB per atom, raw formation energy -668 meV/atom. Number 9: total magnetization 0.00 μB per atom, raw formation energy -511 meV/atom. Number 10: total magnetization 0.00 μB per atom, raw formation energy -527 meV/atom. Number 11: total magnetization 0.00 μB per atom, raw formation energy -961 meV/atom. Number 12: total magnetization 0.00 μB per atom, raw formation energy -1132 meV/atom.